1.
# PBE La2PmNd3Ho6, relaxed
# M_tot   0.00 μB/cell
# Calculated formation energy   0.3 kcal/mol of atoms
# Total energy   -112.43 eV for the cell shown
data_La2PmNd3Ho6
_chemical_formula_sum 'La4 Pm2 Nd6 Ho12'
_cell_length_a 6.2782
_cell_length_b 10.8729
_cell_length_c 11.8371
_cell_angle_alpha 90.00
_cell_angle_beta 100.16
_cell_angle_gamma 90.00
_symmetry_space_group_name_H-M 'C 1 2/m 1'
_symmetry_Int_Tables_number 12
_symmetry_space_group_name_Hall '-C 2y'
loop_
_atom_site_label
_atom_site_type_symbol
_atom_site_fract_x
_atom_site_fract_y
_atom_site_fract_z
La1 La 0.0000 0.1665 0.0000
Pm1 Pm 0.0000 0.5000 0.0000
Nd1 Nd 0.0000 0.0000 0.5000
Nd2 Nd 0.0000 0.3335 0.5000
Ho1 Ho 0.2486 0.5000 0.7487
Ho2 Ho 0.2498 0.1663 0.7487

2.
# PBE AlZnTe2, relaxed
# M_tot   0.00 μB/cell
# E above lowest polymorph   379.8 meV/atom
# Energy relative to the elements, uncorrected   0.50 eV per formula unit
# Total energy   -10.80 eV for the cell shown
data_AlZnTe2
_chemical_formula_sum 'Al1 Zn1 Te2'
_cell_length_a 3.1887
_cell_length_b 3.1887
_cell_length_c 9.8398
_cell_angle_alpha 90.00
_cell_angle_beta 90.00
_cell_angle_gamma 90.00
_symmetry_space_group_name_H-M 'P 4 m m'
_symmetry_Int_Tables_number 99
_symmetry_space_group_name_Hall 'P 4 -2'
loop_
_atom_site_label
_atom_site_type_symbol
_atom_site_fract_x
_atom_site_fract_y
_atom_site_fract_z
Al1 Al 0.0000 0.0000 0.0000
Zn1 Zn 0.5000 0.5000 0.8335
Te1 Te 0.0000 0.0000 0.5984
Te2 Te 0.5000 0.5000 0.2174

3.
# PBE AlRe2Ni, relaxed
# M_tot   0.00 μB/cell
# Calculated formation energy   -1.0 kcal/mol of atoms
# Total energy   -34.59 eV for the cell shown
data_AlRe2Ni
_chemical_formula_sum 'Al1 Re2 Ni1'
_cell_length_a 4.5960
_cell_length_b 2.7517
_cell_length_c 4.6287
_cell_angle_alpha 90.00
_cell_angle_beta 107.14
_cell_angle_gamma 90.00
_symmetry_space_group_name_H-M 'P 1 2/m 1'
_symmetry_Int_Tables_number 10
_symmetry_space_group_name_Hall '-P 2y'
loop_
_atom_site_label
_atom_site_type_symbol
_atom_site_fract_x
_atom_site_fract_y
_atom_site_fract_z
Al1 Al 0.0000 0.0000 0.0000
Re1 Re 0.0000 0.5000 0.5000
Re2 Re 0.5000 0.0000 0.5000
Ni1 Ni 0.5000 0.5000 0.0000

4.
# PBE Zr2CoP, relaxed
# M_tot   0.00 μB/cell
# E above lowest polymorph   0.0 meV/atom
# Calculated formation energy   -21.5 kcal/mol of atoms
# Total energy   -66.69 eV for the cell shown
data_Zr2CoP
_chemical_formula_sum 'Zr4 Co2 P2'
_cell_length_a 5.2731
_cell_length_b 3.6517
_cell_length_c 7.4339
_cell_angle_alpha 90.00
_cell_angle_beta 110.32
_cell_angle_gamma 90.00
_symmetry_space_group_name_H-M 'P 1 21/m 1'
_symmetry_Int_Tables_number 11
_symmetry_space_group_name_Hall '-P 2yb'
loop_
_atom_site_label
_atom_site_type_symbol
_atom_site_fract_x
_atom_site_fract_y
_atom_site_fract_z
Zr1 Zr 0.2074 0.2500 0.4196
Zr2 Zr 0.2746 0.7500 0.0641
Co1 Co 0.1474 0.2500 0.7901
P1 P 0.3582 0.7500 0.7107

5.
# PBE LiMgZn2, relaxed
# M_tot   0.00 μB/cell
# Calculated formation energy   2.0 kcal/mol of atoms
# Total energy   -22.84 eV for the cell shown
data_LiMgZn2
_chemical_formula_sum 'Li4 Mg4 Zn8'
_cell_length_a 7.3050
_cell_length_b 7.3050
_cell_length_c 5.5112
_cell_angle_alpha 90.00
_cell_angle_beta 90.00
_cell_angle_gamma 90.00
_symmetry_space_group_name_H-M 'I -4 2 d'
_symmetry_Int_Tables_number 122
_symmetry_space_group_name_Hall 'I -4 2bw'
loop_
_atom_site_label
_atom_site_type_symbol
_atom_site_fract_x
_atom_site_fract_y
_atom_site_fract_z
Li1 Li 0.0000 0.0000 0.0000
Mg1 Mg 0.0000 0.0000 0.5000
Zn1 Zn 0.2303 0.2500 0.1250

6.
# PBE VCuPt14, relaxed
# M_tot   0.00 μB/cell
# Calculated formation energy   -4.0 kcal/mol of atoms
# Total energy   -100.57 eV for the cell shown
data_VCuPt14
_chemical_formula_sum 'V1 Cu1 Pt14'
_cell_length_a 5.6068
_cell_length_b 5.6068
_cell_length_c 7.7888
_cell_angle_alpha 90.00
_cell_angle_beta 90.00
_cell_angle_gamma 90.00
_symmetry_space_group_name_H-M 'P 4/m m m'
_symmetry_Int_Tables_number 123
_symmetry_space_group_name_Hall '-P 4 2'
loop_
_atom_site_label
_atom_site_type_symbol
_atom_site_fract_x
_atom_site_fract_y
_atom_site_fract_z
V1 V 0.0000 0.0000 0.0000
Cu1 Cu 0.5000 0.5000 0.0000
Pt1 Pt 0.0000 0.0000 0.5000
Pt2 Pt 0.0000 0.5000 0.0000
Pt3 Pt 0.0000 0.5000 0.5000
Pt4 Pt 0.2481 0.2481 0.2408
Pt5 Pt 0.5000 0.5000 0.5000

7.
# PBE KV3Si, relaxed
# M_tot   10.84 μB/cell
# E above lowest polymorph   0.0 meV/atom
# Energy relative to the elements, uncorrected   5.32 eV per formula unit
# Total energy   -28.55 eV for the cell shown
data_KV3Si
_chemical_formula_sum 'K1 V3 Si1'
_cell_length_a 4.9393
_cell_length_b 4.9393
_cell_length_c 4.9393
_cell_angle_alpha 90.00
_cell_angle_beta 90.00
_cell_angle_gamma 90.00
_symmetry_space_group_name_H-M 'P m -3 m'
_symmetry_Int_Tables_number 221
_symmetry_space_group_name_Hall '-P 4 2 3'
loop_
_atom_site_label
_atom_site_type_symbol
_atom_site_fract_x
_atom_site_fract_y
_atom_site_fract_z
K1 K 0.0000 0.0000 0.0000
V1 V 0.0000 0.5000 0.5000
Si1 Si 0.5000 0.5000 0.5000

8.
# PBE PrTl2Os3O12, relaxed
# M_tot   0.00 μB/cell
# Energy relative to the elements, uncorrected   -22.17 eV per formula unit
# Total energy   -374.61 eV for the cell shown
data_PrTl2Os3O12
_chemical_formula_sum 'Pr3 Tl6 Os9 O36'
_cell_length_a 7.4701
_cell_length_b 7.4701
_cell_length_c 16.1234
_cell_angle_alpha 90.00
_cell_angle_beta 90.00
_cell_angle_gamma 120.00
_symmetry_space_group_name_H-M 'R -3 m'
_symmetry_Int_Tables_number 166
_symmetry_space_group_name_Hall '-R 3 2"'
loop_
_atom_site_label
_atom_site_type_symbol
_atom_site_fract_x
_atom_site_fract_y
_atom_site_fract_z
Pr1 Pr 0.0000 0.0000 0.0000
Tl1 Tl 0.0000 0.0000 0.3918
Os1 Os 0.0000 0.5000 0.5000
O1 O 0.0302 0.5151 0.3863
O2 O 0.0840 0.5420 0.8193

9.
# PBE Li6CdAg5, relaxed
# M_tot   0.00 μB/cell
# E above lowest polymorph   0.0 meV/atom
# Calculated formation energy   -5.1 kcal/mol of atoms
# Total energy   -58.58 eV for the cell shown
data_Li6CdAg5
_chemical_formula_sum 'Li12 Cd2 Ag10'
_cell_length_a 14.2647
_cell_length_b 6.2468
_cell_length_c 4.5648
_cell_angle_alpha 90.00
_cell_angle_beta 105.69
_cell_angle_gamma 90.00
_symmetry_space_group_name_H-M 'C 1 2/m 1'
_symmetry_Int_Tables_number 12
_symmetry_space_group_name_Hall '-C 2y'
loop_
_atom_site_label
_atom_site_type_symbol
_atom_site_fract_x
_atom_site_fract_y
_atom_site_fract_z
Li1 Li 0.0000 0.2392 0.0000
Li2 Li 0.1699 0.2447 0.6700
Cd1 Cd 0.0000 0.5000 0.5000
Ag1 Ag 0.0000 0.0000 0.5000
Ag2 Ag 0.1637 0.5000 0.1625
Ag3 Ag 0.1675 0.0000 0.1683

10.
# PBE SmThScTi, relaxed
# M_tot   2.88 μB/cell
# Calculated formation energy   3.9 kcal/mol of atoms
# Total energy   -102.77 eV for the cell shown
data_SmThScTi
_chemical_formula_sum 'Sm4 Th4 Sc4 Ti4'
_cell_length_a 7.4961
_cell_length_b 7.4961
_cell_length_c 7.4961
_cell_angle_alpha 90.00
_cell_angle_beta 90.00
_cell_angle_gamma 90.00
_symmetry_space_group_name_H-M 'F -4 3 m'
_symmetry_Int_Tables_number 216
_symmetry_space_group_name_Hall 'F -4 2 3'
loop_
_atom_site_label
_atom_site_type_symbol
_atom_site_fract_x
_atom_site_fract_y
_atom_site_fract_z
Sm1 Sm 0.0000 0.0000 0.0000
Th1 Th 0.0000 0.0000 0.5000
Sc1 Sc 0.2500 0.2500 0.2500
Ti1 Ti 0.2500 0.2500 0.7500

11.
# PBE Rb4Ag2Sb5, relaxed
# M_tot   0.00 μB/cell
# Energy relative to the elements, uncorrected   -2.19 eV per formula unit
# Total energy   -32.37 eV for the cell shown
data_Rb4Ag2Sb5
_chemical_formula_sum 'Rb4 Ag2 Sb5'
_cell_length_a 7.9385
_cell_length_b 5.9372
_cell_length_c 8.6739
_cell_angle_alpha 90.00
_cell_angle_beta 92.06
_cell_angle_gamma 90.00
_symmetry_space_group_name_H-M 'P 1 2/m 1'
_symmetry_Int_Tables_number 10
_symmetry_space_group_name_Hall '-P 2y'
loop_
_atom_site_label
_atom_site_type_symbol
_atom_site_fract_x
_atom_site_fract_y
_atom_site_fract_z
Rb1 Rb 0.2348 0.0000 0.1333
Rb2 Rb 0.2443 0.0000 0.6372
Ag1 Ag 0.4745 0.5000 0.3375
Sb1 Sb 0.1231 0.5000 0.8818
Sb2 Sb 0.1248 0.5000 0.3807
Sb3 Sb 0.5000 0.5000 0.0000

12.
# PBE AcSnPd3Au, relaxed
# M_tot   0.00 μB/cell
# Calculated formation energy   -12.3 kcal/mol of atoms
# Total energy   -120.64 eV for the cell shown
data_AcSnPd3Au
_chemical_formula_sum 'Ac4 Sn4 Pd12 Au4'
_cell_length_a 6.0028
_cell_length_b 12.4056
_cell_length_c 7.3389
_cell_angle_alpha 90.00
_cell_angle_beta 90.00
_cell_angle_gamma 90.00
_symmetry_space_group_name_H-M 'C m c m'
_symmetry_Int_Tables_number 63
_symmetry_space_group_name_Hall '-C 2c 2'
loop_
_atom_site_label
_atom_site_type_symbol
_atom_site_fract_x
_atom_site_fract_y
_atom_site_fract_z
Ac1 Ac 0.0000 0.1708 0.2500
Sn1 Sn 0.0000 0.1288 0.7500
Pd1 Pd 0.0000 0.3478 0.7500
Pd2 Pd 0.2335 0.0000 0.0000
Au1 Au 0.0000 0.4102 0.2500

| no. | DOS at the Fermi energy (states/eV/f.u.) | calculated density (g/cm³) |
| --- | --- | --- |
| 1 | 13.464 | 7.7 |
| 2 | 1.050 | 5.8 |
| 3 | 3.129 | 13.6 |
| 4 | 3.975 | 6.7 |
| 5 | 1.368 | 3.7 |
| 6 | 21.295 | 19.3 |
| 7 | 7.947 | 3.0 |
| 8 | 10.671 | 8.4 |
| 9 | 2.440 | 5.9 |
| 10 | 5.377 | 7.5 |
| 11 | 3.505 | 4.7 |
| 12 | 2.529 | 10.5 |